1.
K2Bi2Pd | PBE-GGA | optimized geometry

The structure in POSCAR format:
```
K2Bi2Pd
1.0
-2.323 3.302 5.697
2.323 -3.302 5.697
2.323 3.302 -5.697
K Bi Pd
2 2 1
direct
0.204 0.204 0.000
0.796 0.796 0.000
0.261 0.500 0.761
0.739 0.500 0.239
0.500 0.000 0.500
```

The calculation puts the volume at 35.0 Å³/atom. The value obtained for the magnetization is 0.00 μB per cell. For the energy relative to the elements, the calculation gives -0.335 eV/atom.



2.
PtRh3O6 | PBE-GGA | optimized geometry

The structure in POSCAR format:
```
PtRh3O6
1.0
5.363 0.000 0.000
0.000 5.453 0.000
-5.213 0.000 7.751
Pt Rh O
2 6 12
direct
0.000 0.000 0.000
0.000 0.500 0.500
0.300 0.046 0.798
0.300 0.454 0.298
0.500 0.000 0.500
0.500 0.500 0.000
0.700 0.546 0.702
0.700 0.954 0.202
0.085 0.104 0.235
0.085 0.396 0.735
0.316 0.697 0.115
0.316 0.803 0.615
0.367 0.175 0.029
0.367 0.325 0.529
0.633 0.675 0.471
0.633 0.825 0.971
0.684 0.197 0.385
0.684 0.303 0.885
0.915 0.604 0.265
0.915 0.896 0.765
```

The calculation puts the volume at 11.3 Å³/atom. The value obtained for the magnetization is 0.00 μB per cell. The uncorrected formation energy comes out at -0.38 eV/atom.



3.
MnTl2As | PBE-GGA | optimized geometry

The structure in POSCAR format:
```
MnTl2As
1.0
3.405 0.000 0.000
0.000 3.375 0.000
-0.142 0.000 8.346
Mn Tl As
1 2 1
direct
0.000 0.000 0.000
0.012 0.000 0.396
0.514 0.500 0.727
0.502 0.500 0.102
```

The calculation puts the volume at 24.0 Å³/atom. The value obtained for the magnetization is 3.53 μB per cell. Its distance to the lowest polymorph of the same formula is 0 meV per atom. For the energy relative to the elements, the calculation gives 0.080 eV/atom.



4.
Pa2In2Se5 | PBE-GGA | optimized geometry

The structure in POSCAR format:
```
Pa2In2Se5
1.0
8.080 -3.951 0.000
8.080 3.951 0.000
0.000 0.000 7.886
Pa In Se
4 4 10
direct
0.156 0.844 0.844
0.344 0.656 0.344
0.656 0.344 0.656
0.844 0.156 0.156
0.199 0.199 0.500
0.301 0.301 0.000
0.699 0.699 0.000
0.801 0.801 0.500
0.000 0.000 0.500
0.034 0.737 0.148
0.237 0.534 0.648
0.263 0.966 0.148
0.466 0.763 0.648
0.500 0.500 0.000
0.534 0.237 0.352
0.737 0.034 0.852
0.763 0.466 0.352
0.966 0.263 0.852
```

The calculation puts the volume at 28.0 Å³/atom. The value obtained for the magnetization is 4.07 μB per cell. The uncorrected formation energy comes out at -1.01 eV/atom.



5.
PmZnNiPd | PBE-GGA | optimized geometry

The structure in POSCAR format:
```
PmZnNiPd
1.0
0.000 3.306 3.306
3.306 0.000 3.306
3.306 3.306 0.000
Pm Zn Ni Pd
1 1 1 1
direct
0.000 0.000 0.000
0.500 0.500 0.500
0.250 0.250 0.250
0.750 0.750 0.750
```

The calculation puts the volume at 18.1 Å³/atom. The value obtained for the magnetization is 0.00 μB per cell. Its distance to the lowest polymorph of the same formula is 129 meV per atom. For the energy relative to the elements, the calculation gives -0.393 eV/atom.



6.
CsGaC2Se | PBE-GGA | optimized geometry

The structure in POSCAR format:
```
CsGaC2Se
1.0
4.453 0.000 0.000
0.000 4.453 0.000
0.000 0.000 5.378
Cs Ga C Se
1 1 2 1
direct
0.000 0.000 0.000
0.500 0.500 0.000
0.000 0.500 0.500
0.500 0.000 0.500
0.500 0.500 0.500
```

The calculation puts the volume at 21.3 Å³/atom. The value obtained for the magnetization is 0.00 μB per cell. The uncorrected formation energy comes out at 2.07 eV/atom.



7.
AlTl3Cl6 | PBE-GGA | optimized geometry

The structure in POSCAR format:
```
AlTl3Cl6
1.0
7.152 0.000 0.000
0.000 7.973 0.000
-6.787 0.000 10.569
Al Tl Cl
2 6 12
direct
0.000 0.000 0.000
0.000 0.500 0.500
0.287 0.063 0.762
0.287 0.437 0.262
0.500 0.000 0.500
0.500 0.500 0.000
0.713 0.563 0.738
0.713 0.937 0.238
0.116 0.051 0.212
0.116 0.449 0.712
0.219 0.746 0.563
0.219 0.754 0.063
0.303 0.158 0.029
0.303 0.342 0.529
0.697 0.658 0.471
0.697 0.842 0.971
0.781 0.246 0.937
0.781 0.254 0.437
0.884 0.551 0.288
0.884 0.949 0.788
```

The calculation puts the volume at 30.1 Å³/atom. The value obtained for the magnetization is 0.00 μB per cell. The uncorrected formation energy comes out at -1.22 eV/atom. Its distance to the lowest polymorph of the same formula is 43 meV per atom.



8.
ZnCu6Ni2 | PBE-GGA | optimized geometry

The structure in POSCAR format:
```
ZnCu6Ni2
1.0
6.127 0.000 0.000
-2.975 5.548 0.000
-0.401 -1.491 6.550
Zn Cu Ni
2 12 4
direct
0.213 0.138 0.453
0.787 0.862 0.547
0.013 0.340 0.677
0.114 0.763 0.704
0.130 0.920 0.063
0.214 0.528 0.067
0.456 0.951 0.310
0.494 0.660 0.803
0.506 0.340 0.197
0.544 0.049 0.690
0.786 0.472 0.933
0.870 0.080 0.937
0.886 0.237 0.296
0.987 0.660 0.323
0.304 0.227 0.838
0.333 0.573 0.442
0.667 0.427 0.558
0.696 0.773 0.162
```

The calculation puts the volume at 12.4 Å³/atom. The value obtained for the magnetization is 0.00 μB per cell. Its distance to the lowest polymorph of the same formula is 61 meV per atom. For the energy relative to the elements, the calculation gives 0.078 eV/atom.



9.
Li2MnAsPt | PBE-GGA | optimized geometry

The structure in POSCAR format:
```
Li2MnAsPt
1.0
4.445 0.000 0.000
0.000 4.445 0.000
0.000 0.000 4.447
Li Mn As Pt
2 1 1 1
direct
0.000 0.500 0.000
0.500 0.000 0.000
0.000 0.000 0.000
0.000 0.000 0.500
0.500 0.500 0.500
```

The calculation puts the volume at 17.6 Å³/atom. The value obtained for the magnetization is 3.05 μB per cell. For the energy relative to the elements, the calculation gives 0.483 eV/atom.



10.
PrZn2Au3 | PBE-GGA | optimized geometry

The structure in POSCAR format:
```
PrZn2Au3
1.0
5.022 -4.549 0.000
5.022 4.549 0.000
0.000 0.000 5.383
Pr Zn Au
2 4 6
direct
0.194 0.806 0.750
0.806 0.194 0.250
0.270 0.270 0.000
0.270 0.270 0.500
0.730 0.730 0.000
0.730 0.730 0.500
0.043 0.606 0.250
0.394 0.957 0.250
0.455 0.545 0.250
0.545 0.455 0.750
0.606 0.043 0.750
0.957 0.394 0.750
```

The calculation puts the volume at 20.5 Å³/atom. The value obtained for the magnetization is 0.00 μB per cell. For the energy relative to the elements, the calculation gives -0.487 eV/atom.



11.
ZrPbBr | PBE-GGA | optimized geometry

The structure in POSCAR format:
```
ZrPbBr
1.0
3.450 0.000 0.000
-1.725 2.988 0.000
0.000 0.000 8.298
Zr Pb Br
1 1 1
direct
0.000 0.000 0.000
0.667 0.333 0.688
0.333 0.667 0.227
```

The calculation puts the volume at 28.5 Å³/atom. The value obtained for the magnetization is 0.00 μB per cell. The uncorrected formation energy comes out at -0.55 eV/atom. Its distance to the lowest polymorph of the same formula is 0 meV per atom.



12.
CsLi2AgAs | PBE-GGA | optimized geometry

The structure in POSCAR format:
```
CsLi2AgAs
1.0
5.088 0.000 0.000
0.000 5.088 0.000
0.000 0.000 5.502
Cs Li Ag As
1 2 1 1
direct
0.000 0.000 0.000
0.000 0.500 0.500
0.500 0.000 0.500
0.500 0.500 0.000
0.500 0.500 0.500
```

The calculation puts the volume at 28.5 Å³/atom. The value obtained for the magnetization is 0.00 μB per cell. For the energy relative to the elements, the calculation gives -0.230 eV/atom.



13.
TcTe3W | PBE-GGA | optimized geometry

The structure in POSCAR format:
```
TcTe3W
1.0
5.307 0.000 0.000
0.000 5.307 0.000
0.000 0.000 5.307
Tc Te W
1 3 1
direct
0.000 0.000 0.000
0.000 0.500 0.500
0.500 0.000 0.500
0.500 0.500 0.000
0.500 0.500 0.500
```

The calculation puts the volume at 29.9 Å³/atom. The value obtained for the magnetization is 4.37 μB per cell. The uncorrected formation energy comes out at 1.35 eV/atom. Its distance to the lowest polymorph of the same formula is 0 meV per atom.



14.
LiRh2Br | PBE-GGA | optimized geometry

The structure in POSCAR format:
```
LiRh2Br
1.0
-1.831 1.831 4.959
1.831 -1.831 4.959
1.831 1.831 -4.959
Li Rh Br
1 2 1
direct
0.000 0.000 0.000
0.250 0.750 0.500
0.750 0.250 0.500
0.500 0.500 0.000
```

The calculation puts the volume at 16.6 Å³/atom. The value obtained for the magnetization is 1.37 μB per cell. The uncorrected formation energy comes out at 0.20 eV/atom. Its distance to the lowest polymorph of the same formula is 211 meV per atom.



15.
Zr3TiPd | PBE-GGA | optimized geometry

The structure in POSCAR format:
```
Zr3TiPd
1.0
5.040 0.000 0.000
0.000 5.040 0.000
0.000 0.000 5.040
Zr Ti Pd
3 1 1
direct
0.000 0.000 0.500
0.000 0.500 0.000
0.500 0.000 0.000
0.500 0.500 0.500
0.000 0.000 0.000
```

The calculation puts the volume at 25.6 Å³/atom. The value obtained for the magnetization is 0.00 μB per cell. Its distance to the lowest polymorph of the same formula is 0 meV per atom. For the energy relative to the elements, the calculation gives 0.628 eV/atom.



16.
MnMoCl | PBE-GGA | optimized geometry

The structure in POSCAR format:
```
MnMoCl
1.0
3.162 0.000 0.000
-1.581 2.739 0.000
0.000 0.000 5.665
Mn Mo Cl
1 1 1
direct
0.000 0.000 0.000
0.333 0.667 0.248
0.667 0.333 0.639
```

The calculation puts the volume at 16.4 Å³/atom. The value obtained for the magnetization is 0.04 μB per cell. The uncorrected formation energy comes out at 0.23 eV/atom. Its distance to the lowest polymorph of the same formula is 0 meV per atom.



17.
LaMnNi2 | PBE-GGA | optimized geometry

The structure in POSCAR format:
```
LaMnNi2
1.0
3.955 0.000 0.000
0.000 1.810 5.038
0.000 -1.810 5.038
La Mn Ni
1 1 2
direct
0.000 0.000 0.000
0.500 0.717 0.717
0.000 0.259 0.259
0.500 0.400 0.400
```

The calculation puts the volume at 18.0 Å³/atom. The value obtained for the magnetization is 4.49 μB per cell. For the energy relative to the elements, the calculation gives -0.035 eV/atom.



18.
Gd3Cu | PBE-GGA | optimized geometry

The structure in POSCAR format:
```
Gd3Cu
1.0
4.747 0.000 0.000
0.000 4.747 0.000
0.000 0.000 4.747
Gd Cu
3 1
direct
0.000 0.000 0.500
0.000 0.500 0.000
0.500 0.000 0.000
0.500 0.500 0.500
```

The calculation puts the volume at 26.7 Å³/atom. The value obtained for the magnetization is 23.31 μB per cell. Its distance to the lowest polymorph of the same formula is 145 meV per atom. For the energy relative to the elements, the calculation gives 0.097 eV/atom.



19.
EuErTmTh | PBE-GGA | optimized geometry

The structure in POSCAR format:
```
EuErTmTh
1.0
0.000 4.038 4.038
4.038 0.000 4.038
4.038 4.038 0.000
Eu Er Tm Th
1 1 1 1
direct
0.000 0.000 0.000
0.250 0.250 0.250
0.750 0.750 0.750
0.500 0.500 0.500
```

The calculation puts the volume at 32.9 Å³/atom. The value obtained for the magnetization is 7.03 μB per cell. For the energy relative to the elements, the calculation gives 0.186 eV/atom.



20.
Y12HoCo6 | PBE-GGA | optimized geometry

The structure in POSCAR format:
```
Y12HoCo6
1.0
-4.907 4.907 4.907
4.907 -4.907 4.907
4.907 4.907 -4.907
Y Ho Co
12 1 6
direct
0.115 0.806 0.309
0.194 0.309 0.502
0.194 0.691 0.885
0.309 0.115 0.806
0.309 0.502 0.194
0.498 0.806 0.691
0.502 0.194 0.309
0.691 0.498 0.806
0.691 0.885 0.194
0.806 0.309 0.115
0.806 0.691 0.498
0.885 0.194 0.691
0.000 0.000 0.000
0.112 0.612 0.500
0.388 0.500 0.888
0.500 0.112 0.612
0.500 0.888 0.388
0.612 0.500 0.112
0.888 0.388 0.500
```

The calculation puts the volume at 24.9 Å³/atom. The value obtained for the magnetization is 0.00 μB per cell. For the energy relative to the elements, the calculation gives -0.121 eV/atom.



21.
Nd2Ga6Pt | PBE-GGA | optimized geometry

The structure in POSCAR format:
```
Nd2Ga6Pt
1.0
5.997 0.000 0.000
-2.999 5.194 0.000
0.000 0.000 5.712
Nd Ga Pt
2 6 1
direct
0.333 0.667 0.158
0.667 0.333 0.842
0.177 0.354 0.678
0.177 0.823 0.678
0.354 0.177 0.322
0.646 0.823 0.678
0.823 0.177 0.322
0.823 0.646 0.322
0.000 0.000 0.000
```

The calculation puts the volume at 19.8 Å³/atom. The value obtained for the magnetization is 0.00 μB per cell. For the energy relative to the elements, the calculation gives -0.647 eV/atom.